Record 1
Computed, not measured: a geometry-optimized CaSiSb3 structure at the PBE level of DFT.

Geometry as CIF:
```
data_CaSiSb3
_chemical_formula_sum 'Ca1 Si1 Sb3'
_symmetry_space_group_name_H-M 'P m -3 m'
_symmetry_Int_Tables_number 221
_symmetry_space_group_name_Hall '-P 4 2 3'
_cell_length_a 5.657
_cell_length_b 5.657
_cell_length_c 5.657
_cell_angle_alpha 90.00
_cell_angle_beta 90.00
_cell_angle_gamma 90.00
loop_
_atom_site_label
_atom_site_type_symbol
_atom_site_fract_x
_atom_site_fract_y
_atom_site_fract_z
Ca1 Ca 0.000 0.000 0.000
Si1 Si 0.500 0.500 0.500
Sb1 Sb 0.000 0.000 0.500
```

**DOS(E_F)**: 5.0 states/eV/cell
**Uncorrected energy**: -2.94 eV per atom
**Theoretical density**: 3.98 Mg/m³
**Calculated volume**: 36.2 A^3/atom
**Excess energy over the best structure of this formula in the dataset**: 4.35 eV per formula unit
**Size of the total moment**: 0.000 μB per atom

---

Record 2
Computed, not measured: a geometry-optimized CaSiSb4 structure at the PBE level of DFT.

Geometry as CIF:
```
data_CaSiSb4
_chemical_formula_sum 'Ca4 Si4 Sb16'
_symmetry_space_group_name_H-M 'F -4 3 m'
_symmetry_Int_Tables_number 216
_symmetry_space_group_name_Hall 'F -4 2 3'
_cell_length_a 8.790
_cell_length_b 8.790
_cell_length_c 8.790
_cell_angle_alpha 90.00
_cell_angle_beta 90.00
_cell_angle_gamma 90.00
loop_
_atom_site_label
_atom_site_type_symbol
_atom_site_fract_x
_atom_site_fract_y
_atom_site_fract_z
Ca1 Ca 0.000 0.000 0.000
Si1 Si 0.250 0.250 0.250
Sb1 Sb 0.125 0.125 0.625
```

**DOS(E_F)**: 13.5 states/eV/cell
**Uncorrected energy**: -3.78 eV per atom
**Theoretical density**: 5.43 Mg/m³
**Calculated volume**: 28.3 A^3/atom
**Size of the total moment**: 0.000 μB per atom

---

Record 3
Computed, not measured: a geometry-optimized CaSiSb3 structure at the PBE level of DFT.

Geometry as CIF:
```
data_CaSiSb3
_chemical_formula_sum 'Ca1 Si1 Sb3'
_symmetry_space_group_name_H-M 'P m -3 m'
_symmetry_Int_Tables_number 221
_symmetry_space_group_name_Hall '-P 4 2 3'
_cell_length_a 5.298
_cell_length_b 5.298
_cell_length_c 5.298
_cell_angle_alpha 90.00
_cell_angle_beta 90.00
_cell_angle_gamma 90.00
loop_
_atom_site_label
_atom_site_type_symbol
_atom_site_fract_x
_atom_site_fract_y
_atom_site_fract_z
Ca1 Ca 0.000 0.000 0.000
Si1 Si 0.500 0.500 0.500
Sb1 Sb 0.000 0.500 0.500
```

**DOS(E_F)**: 4.7 states/eV/cell
**Uncorrected energy**: -3.81 eV per atom
**Theoretical density**: 4.84 Mg/m³
**Calculated volume**: 29.7 A^3/atom
**Excess energy over the best structure of this formula in the dataset**: 0.00 eV per formula unit
**Size of the total moment**: 0.000 μB per atom

---

no.,formation energy from raw total energies (eV per atom)
1,1.018
2,0.203
3,0.147